Entry 1:
This record from Alexandria describes crystalline RbOsN2 at its relaxed geometry. The functional is PBE.

Cell: 6.1910 6.1910 6.1910 Å, 124.53 124.53 82.33°
Closest atoms and distances in Å follow each position.
Sites, in units of the cell vectors:
Rb  0.0000  0.0000  0.0000  4 N 3.18
Rb  0.7500  0.2500  0.5000  4 N 3.18
Os  0.2500  0.7500  0.5000  4 N 1.88
Os  0.5000  0.5000  0.0000  4 N 1.88
N  0.3233  0.6250  0.1983  2 Os 1.88
N  0.3750  0.5733  0.6983  2 Os 1.88
N  0.4267  0.1250  0.8017  2 Os 1.88
N  0.8750  0.6767  0.3017  2 Os 1.88

Crystal system = tetragonal
Uncorrected formation energy = 125 meV/atom
Mass density = 6.52 g/cm3
Space-group type = I-42d, No. 122
E above lowest polymorph = 0.000 eV/atom



Entry 2:
This record from Alexandria describes crystalline HfSc2Sn2 at its relaxed geometry. The functional is PBE.

Cell: 8.4533 8.4533 3.2262 Å, 90.00 90.00 90.00°
Closest atoms and distances in Å follow each position.
Sites, in units of the cell vectors:
Hf  0.0000  0.0000  0.0000  2 Hf 3.23, 4 Sc 3.35, 8 Sn 3.51
Hf  0.5000  0.5000  0.0000  2 Hf 3.23, 4 Sc 3.35, 8 Sn 3.51
Sc  0.1236  0.3764  0.0000  6 Sn 2.89-3.04, 3 Sc 2.96-3.23
Sc  0.3764  0.8764  0.0000  6 Sn 2.89-3.04, 3 Sc 2.96-3.23
Sc  0.6236  0.1236  0.0000  6 Sn 2.89-3.04, 3 Sc 2.96-3.23
Sc  0.8764  0.6236  0.0000  6 Sn 2.89-3.04, 3 Sc 2.96-3.23
Sn  0.1763  0.6763  0.5000  6 Sc 2.89-3.04, 2 Sn 3.23
Sn  0.3237  0.1763  0.5000  6 Sc 2.89-3.04, 2 Sn 3.23
Sn  0.6763  0.8237  0.5000  6 Sc 2.89-3.04, 2 Sn 3.23
Sn  0.8237  0.3237  0.5000  6 Sc 2.89-3.04, 2 Sn 3.23

Crystal system = tetragonal
ΔE_f = -0.205 eV/atom
Mass density = 7.29 g/cm3
Space-group type = P4/mbm, No. 127
E above lowest polymorph = 0.261 eV/atom



| no. | size of the total moment (μB per formula unit) |
| --- | --- |
| 1 | 0.0 |
| 2 | 0.3 |